GaFe2B | GGA-PBE | relaxed

Calculated values
SG = I-42d
energy relative to the lowest polymorph listed for this composition = 0 meV/atom
formation energy = 153 meV per atom

a = 6.116 Å, b = 6.116 Å, c = 4.759 Å
α = 90.00°, β = 90.00°, γ = 90.00°
Sites, in units of the cell vectors:
Ga  0.000  0.000  0.000
Ga  0.000  0.500  0.250
Ga  0.500  0.000  0.750
Ga  0.500  0.500  0.500
Fe  0.177  0.750  0.625
Fe  0.250  0.177  0.375
Fe  0.250  0.323  0.875
Fe  0.323  0.750  0.125
Fe  0.677  0.250  0.125
Fe  0.750  0.677  0.875
Fe  0.750  0.823  0.375
Fe  0.823  0.250  0.625
B  0.000  0.000  0.500
B  0.000  0.500  0.750
B  0.500  0.000  0.250
B  0.500  0.500  0.000

***

GaFe2B | GGA-PBE | relaxed

Calculated values
SG = Fm-3m
energy relative to the lowest polymorph listed for this composition = 60 meV/atom
formation energy = 213 meV per atom

a = 5.423 Å, b = 5.423 Å, c = 5.423 Å
α = 90.00°, β = 90.00°, γ = 90.00°
Sites, in units of the cell vectors:
Ga  0.000  0.000  0.000
Ga  0.000  0.500  0.500
Ga  0.500  0.000  0.500
Ga  0.500  0.500  0.000
Fe  0.250  0.250  0.250
Fe  0.250  0.250  0.750
Fe  0.250  0.750  0.250
Fe  0.250  0.750  0.750
Fe  0.750  0.250  0.250
Fe  0.750  0.250  0.750
Fe  0.750  0.750  0.250
Fe  0.750  0.750  0.750
B  0.000  0.000  0.500
B  0.000  0.500  0.000
B  0.500  0.000  0.000
B  0.500  0.500  0.500

***

MnGaFeB2 | GGA-PBE | relaxed

Calculated values
SG = P4/mmm
formation energy = 995 meV per atom

a = 3.798 Å, b = 3.798 Å, c = 4.459 Å
α = 90.00°, β = 90.00°, γ = 90.00°
Sites, in units of the cell vectors:
Mn  0.000  0.000  0.000
Ga  0.500  0.500  0.500
Fe  0.000  0.000  0.500
B  0.000  0.500  0.000
B  0.500  0.000  0.000

***

Mn2GaFe5B2 | GGA-PBE | relaxed

Calculated values
SG = P4/mbm
formation energy = -167 meV per atom

a = 8.501 Å, b = 8.501 Å, c = 2.848 Å
α = 90.00°, β = 90.00°, γ = 90.00°
Sites, in units of the cell vectors:
Mn  0.175  0.325  0.000
Mn  0.325  0.825  0.000
Mn  0.675  0.175  0.000
Mn  0.825  0.675  0.000
Ga  0.000  0.000  0.000
Ga  0.500  0.500  0.000
Fe  0.000  0.500  0.500
Fe  0.069  0.782  0.500
Fe  0.218  0.069  0.500
Fe  0.282  0.569  0.500
Fe  0.431  0.282  0.500
Fe  0.500  0.000  0.500
Fe  0.569  0.718  0.500
Fe  0.718  0.431  0.500
Fe  0.782  0.931  0.500
Fe  0.931  0.218  0.500
B  0.124  0.624  0.000
B  0.376  0.124  0.000
B  0.624  0.876  0.000
B  0.876  0.376  0.000

***

GaFeNi2B | GGA-PBE | relaxed

Calculated values
SG = P4/mmm
formation energy = -157 meV per atom

a = 3.807 Å, b = 3.807 Å, c = 3.814 Å
α = 90.00°, β = 90.00°, γ = 90.00°
Sites, in units of the cell vectors:
Ga  0.000  0.000  0.000
Fe  0.500  0.500  0.000
Ni  0.000  0.500  0.500
Ni  0.500  0.000  0.500
B  0.500  0.500  0.500

***

Np2GaFe5B2 | GGA-PBE | relaxed

Calculated values
SG = P4/mbm
formation energy = -214 meV per atom

a = 8.994 Å, b = 8.994 Å, c = 3.010 Å
α = 90.00°, β = 90.00°, γ = 90.00°
Sites, in units of the cell vectors:
Np  0.178  0.322  0.000
Np  0.322  0.822  0.000
Np  0.678  0.178  0.000
Np  0.822  0.678  0.000
Ga  0.000  0.000  0.000
Ga  0.500  0.500  0.000
Fe  0.000  0.500  0.500
Fe  0.071  0.775  0.500
Fe  0.225  0.071  0.500
Fe  0.275  0.571  0.500
Fe  0.429  0.275  0.500
Fe  0.500  0.000  0.500
Fe  0.571  0.725  0.500
Fe  0.725  0.429  0.500
Fe  0.775  0.929  0.500
Fe  0.929  0.225  0.500
B  0.118  0.618  0.000
B  0.382  0.118  0.000
B  0.618  0.882  0.000
B  0.882  0.382  0.000

***

no.,magnetic moment (μB per cell)
1,11.7
2,5.0
3,2.6
4,6.4
5,0.4
6,3.8